Entry from Alexandria: crystalline Pm6Bi2Pt at its relaxed geometry (PBE-GGA).

ΔH_f (0 K) = -0.704 eV per atom

a b c (Å): 4.1667 8.7111 8.7102
angles (deg): 120.00 90.00 90.00
With the nearest neighbours (Å) after each atom.
Element x y z (fractional)
Pm  0.5000  0.5962  0.0000  4 Bi 3.37, 1 Pt 3.52, 6 Pm 3.71-3.72
Pm  0.5000  0.4035  0.4035  4 Bi 3.37, 1 Pt 3.51, 6 Pm 3.71-3.72
Pm  0.0000  0.7579  0.7580  2 Pt 2.96
Pm  0.0000  0.9999  0.2420  2 Pt 2.96
Pm  0.5000  0.0000  0.5965  4 Bi 3.37, 1 Pt 3.51, 6 Pm 3.71-3.72
Pm  0.0000  0.2422  0.0000  2 Pt 2.96
Pt  0.5000  0.0003  0.0000  6 Pm 2.96
Bi  0.0000  0.6667  0.3335  9 Pm 3.37
Bi  0.0000  0.3333  0.6665  9 Pm 3.37